# RbBa2HgO

A relaxed structure of RbBa2HgO (PBE, Alexandria via LeMat-Bulk).

a = 5.4325 Å, b = 5.4325 Å, c = 5.9608 Å
α = 90.00°, β = 90.00°, γ = 90.00°
Last column: nearest neighbours and their distance in Å.
Space group P4/mmm (No. 123)
Unique sites:
Rb 0.0000 0.0000 0.0000  2 O 2.98
Ba 0.0000 0.5000 0.5000  2 O 2.72
Hg 0.5000 0.5000 0.0000  4 Rb 3.84, 8 Ba 4.03
O 0.0000 0.0000 0.5000  4 Ba 2.72, 2 Rb 2.98

Computed properties:
The value obtained for the final energy is -15.12 eV/cell. The value obtained for the energy relative to the elements, uncorrected is -97.4 kJ/mol of atoms. As for the total moment: 0.000 μB per atom. Its volume is 35.183 Å³/atom.